[1]
Compound: LiSmBeCd
Source: the Alexandria database
Functional: PBE
Structure: relaxed

Cell and atoms, written as POSCAR:
```
LiSmBeCd
1.0
0.0000 3.3421 3.3421
3.3421 0.0000 3.3421
3.3421 3.3421 0.0000
Li Sm Be Cd
1 1 1 1
Direct
0.0000 0.0000 0.0000
0.7500 0.7500 0.7500
0.5000 0.5000 0.5000
0.2500 0.2500 0.2500
```

E = -0.1060 hartree per atom
formation enthalpy at 0 K = -0.07 eV/atom
space group = No. 216

[2]
Compound: Cr2ReTe
Source: the Alexandria database
Functional: PBE
Structure: relaxed

Cell and atoms, written as POSCAR:
```
Cr2ReTe
1.0
3.0073 0.0000 0.0000
0.0000 3.9269 0.0000
0.0000 0.0000 5.3023
Cr Re Te
2 1 1
Direct
0.0000 0.0000 0.0000
0.5000 0.5000 0.2449
0.0000 0.0000 0.4274
0.5000 0.5000 0.7487
```

E = -0.2989 hartree per atom
formation energy from raw total energies = 13.277 kcal/mol of atoms
space group = No. 25